# 1
# Li2OsAu GGA-PBE optimized geometry
# * space group: No. 65
# * formation energy from the elements: -34.9 meV/atom
# * E above lowest polymorph: 0 meV per atom
data_Li2OsAu
_chemical_formula_sum 'Li2 Os1 Au1'
_symmetry_space_group_name_H-M 'P 1'
_symmetry_Int_Tables_number 1
_cell_length_a 2.655
_cell_length_b 2.655
_cell_length_c 8.864
_cell_angle_alpha 90.00
_cell_angle_beta 90.00
_cell_angle_gamma 109.85
loop_
_symmetry_equiv_pos_as_xyz
'x,y,z'
loop_
_atom_site_label
_atom_site_type_symbol
_atom_site_fract_x
_atom_site_fract_y
_atom_site_fract_z
_atom_site_occupancy
Li1 Li 0.000 0.000 0.242 1
Li2 Li 0.000 0.000 0.758 1
Os1 Os 0.500 0.500 0.000 1
Au1 Au 0.500 0.500 0.500 1


# 2
# LiOsAu2 GGA-PBE optimized geometry
# * space group: No. 35
# * formation energy from the elements: 214.6 meV/atom
# * E above lowest polymorph: 156 meV per atom
data_LiOsAu2
_chemical_formula_sum 'Li1 Os1 Au2'
_symmetry_space_group_name_H-M 'P 1'
_symmetry_Int_Tables_number 1
_cell_length_a 2.740
_cell_length_b 2.740
_cell_length_c 9.750
_cell_angle_alpha 90.00
_cell_angle_beta 90.00
_cell_angle_gamma 118.17
loop_
_symmetry_equiv_pos_as_xyz
'x,y,z'
loop_
_atom_site_label
_atom_site_type_symbol
_atom_site_fract_x
_atom_site_fract_y
_atom_site_fract_z
_atom_site_occupancy
Li1 Li 0.000 0.000 0.000 1
Os1 Os 0.500 0.500 0.772 1
Au1 Au 0.000 0.000 0.513 1
Au2 Au 0.500 0.500 0.235 1


# 3
# Li2OsAu GGA-PBE optimized geometry
# * space group: No. 65
# * formation energy from the elements: 116.0 meV/atom
# * E above lowest polymorph: 151 meV per atom
data_Li2OsAu
_chemical_formula_sum 'Li2 Os1 Au1'
_symmetry_space_group_name_H-M 'P 1'
_symmetry_Int_Tables_number 1
_cell_length_a 4.968
_cell_length_b 4.968
_cell_length_c 2.567
_cell_angle_alpha 90.00
_cell_angle_beta 90.00
_cell_angle_gamma 112.35
loop_
_symmetry_equiv_pos_as_xyz
'x,y,z'
loop_
_atom_site_label
_atom_site_type_symbol
_atom_site_fract_x
_atom_site_fract_y
_atom_site_fract_z
_atom_site_occupancy
Li1 Li 0.000 0.500 0.000 1
Li2 Li 0.500 0.000 0.000 1
Os1 Os 0.000 0.000 0.500 1
Au1 Au 0.500 0.500 0.500 1


# 4
# Li2OsAu GGA-PBE optimized geometry
# * space group: No. 8
# * formation energy from the elements: 35.5 meV/atom
# * E above lowest polymorph: 70 meV per atom
data_Li2OsAu
_chemical_formula_sum 'Li2 Os1 Au1'
_symmetry_space_group_name_H-M 'P 1'
_symmetry_Int_Tables_number 1
_cell_length_a 5.319
_cell_length_b 5.319
_cell_length_c 4.940
_cell_angle_alpha 117.15
_cell_angle_beta 117.15
_cell_angle_gamma 28.21
loop_
_symmetry_equiv_pos_as_xyz
'x,y,z'
loop_
_atom_site_label
_atom_site_type_symbol
_atom_site_fract_x
_atom_site_fract_y
_atom_site_fract_z
_atom_site_occupancy
Li1 Li 0.000 0.000 0.000 1
Li2 Li 0.237 0.237 0.537 1
Os1 Os 0.748 0.748 0.042 1
Au1 Au 0.491 0.491 0.499 1


# 5
# Li2OsAu GGA-PBE optimized geometry
# * space group: No. 47
# * formation energy from the elements: 95.7 meV/atom
# * E above lowest polymorph: 131 meV per atom
data_Li2OsAu
_chemical_formula_sum 'Li2 Os1 Au1'
_symmetry_space_group_name_H-M 'P 1'
_symmetry_Int_Tables_number 1
_cell_length_a 2.678
_cell_length_b 4.568
_cell_length_c 4.841
_cell_angle_alpha 90.00
_cell_angle_beta 90.00
_cell_angle_gamma 90.00
loop_
_symmetry_equiv_pos_as_xyz
'x,y,z'
loop_
_atom_site_label
_atom_site_type_symbol
_atom_site_fract_x
_atom_site_fract_y
_atom_site_fract_z
_atom_site_occupancy
Li1 Li 0.000 0.000 0.000 1
Li2 Li 0.500 0.000 0.500 1
Os1 Os 0.000 0.500 0.500 1
Au1 Au 0.500 0.500 0.000 1


# 6
# LiOsAu2 GGA-PBE optimized geometry
# * space group: No. 166
# * formation energy from the elements: 156.8 meV/atom
# * E above lowest polymorph: 98 meV per atom
data_LiOsAu2
_chemical_formula_sum 'Li1 Os1 Au2'
_symmetry_space_group_name_H-M 'P 1'
_symmetry_Int_Tables_number 1
_cell_length_a 9.416
_cell_length_b 9.416
_cell_length_c 9.416
_cell_angle_alpha 17.09
_cell_angle_beta 17.09
_cell_angle_gamma 17.09
loop_
_symmetry_equiv_pos_as_xyz
'x,y,z'
loop_
_atom_site_label
_atom_site_type_symbol
_atom_site_fract_x
_atom_site_fract_y
_atom_site_fract_z
_atom_site_occupancy
Li1 Li 0.000 0.000 0.000 1
Os1 Os 0.500 0.500 0.500 1
Au1 Au 0.253 0.253 0.253 1
Au2 Au 0.747 0.747 0.747 1